Version A
Below is LiCaHg3 after structural relaxation, with properties calculated at the GGA-PBE level.

Summary:
The value obtained for the density of states at the Fermi level is 2.6 states/eV/f.u. The symmetry is C2/m, No. 12. The calculated volume comes out at 247 Å³ per cell. For the mass density, the calculation gives 8.72 g/cm³.

```
LiCaHg3
1.0
-0.658 -4.761 0.319
3.747 -0.371 2.197
-7.361 3.872 8.883
Ca Li Hg
2 2 6
Direct
0.165 0.414 0.829 Ca
0.835 0.586 0.171 Ca
0.609 0.858 0.715 Li
0.391 0.142 0.285 Li
0.941 0.196 0.391 Hg
0.719 0.967 0.933 Hg
0.552 0.298 0.596 Hg
0.059 0.804 0.609 Hg
0.448 0.702 0.404 Hg
0.281 0.033 0.067 Hg
```

Version B
Below is LiCaHg3 after structural relaxation, with properties calculated at the GGA-PBE level.

Summary:
The value obtained for the density of states at the Fermi level is 2.4 states/eV/f.u. The symmetry is Cmcm, No. 63. The calculated volume comes out at 244 Å³ per cell. For the mass density, the calculation gives 8.84 g/cm³.

```
LiCaHg3
1.0
-3.360 -0.807 -0.703
0.057 -3.227 3.430
-2.768 10.549 9.970
Ca Hg Li
2 6 2
Direct
0.920 0.750 0.839 Ca
0.080 0.250 0.161 Ca
0.632 0.750 0.263 Hg
0.693 0.250 0.386 Hg
0.472 0.250 0.943 Hg
0.368 0.250 0.737 Hg
0.528 0.750 0.057 Hg
0.307 0.750 0.614 Hg
0.213 0.750 0.426 Li
0.787 0.250 0.574 Li
```

Version C
Below is LiCaHg3 after structural relaxation, with properties calculated at the GGA-PBE level.

Summary:
The value obtained for the density of states at the Fermi level is 2.5 states/eV/f.u. The symmetry is Pm-3m, No. 221. The calculated volume comes out at 124 Å³ per cell. For the mass density, the calculation gives 8.69 g/cm³.

```
LiCaHg3
1.0
4.987 0.000 0.000
0.000 4.987 0.000
0.000 0.000 4.987
Hg Ca Li
3 1 1
Direct
0.500 0.000 0.000 Hg
0.000 0.000 0.500 Hg
0.000 0.500 0.000 Hg
0.500 0.500 0.500 Ca
0.000 0.000 0.000 Li
```

Version D
Below is LiCaHg3 after structural relaxation, with properties calculated at the GGA-PBE level.

Summary:
The value obtained for the density of states at the Fermi level is 3.0 states/eV/f.u. The symmetry is Pm-3m, No. 221. The calculated volume comes out at 203 Å³ per cell. For the mass density, the calculation gives 5.31 g/cm³.

```
LiCaHg3
1.0
5.875 0.000 0.000
0.000 5.875 0.000
0.000 0.000 5.875
Hg Ca Li
3 1 1
Direct
0.500 0.000 0.000 Hg
0.000 0.500 0.000 Hg
0.000 0.000 0.500 Hg
0.000 0.000 0.000 Ca
0.500 0.500 0.500 Li
```

In terms of stability, version B leads; the second structure lies 55 meV per atom higher.

Version A
Below is Li6CaHg12 after structural relaxation, with properties calculated at the GGA-PBE level.

Summary:
The value obtained for the density of states at the Fermi level is 7.0 states/eV/f.u. The symmetry is R-3m, No. 166. The calculated volume comes out at 436 Å³ per cell. For the mass density, the calculation gives 9.48 g/cm³.

```
Li6CaHg12
1.0
-6.847 -1.530 3.970
5.700 -4.701 3.223
2.025 7.629 1.636
Hg Li Ca
12 6 1
Direct
0.386 0.143 0.386 Hg
0.857 0.614 0.614 Hg
0.143 0.386 0.386 Hg
0.614 0.614 0.857 Hg
0.386 0.386 0.143 Hg
0.117 0.500 0.883 Hg
0.883 0.500 0.117 Hg
0.117 0.883 0.500 Hg
0.614 0.857 0.614 Hg
0.500 0.883 0.117 Hg
0.500 0.117 0.883 Hg
0.883 0.117 0.500 Hg
0.293 0.716 0.716 Li
0.716 0.716 0.293 Li
0.284 0.284 0.707 Li
0.707 0.284 0.284 Li
0.284 0.707 0.284 Li
0.716 0.293 0.716 Li
0.000 0.000 0.000 Ca
```

Version B
Below is Li6CaHg12 after structural relaxation, with properties calculated at the GGA-PBE level.

Summary:
The value obtained for the density of states at the Fermi level is 7.2 states/eV/f.u. The symmetry is R-3, No. 148. The calculated volume comes out at 413 Å³ per cell. For the mass density, the calculation gives 10.00 g/cm³.

```
Li6CaHg12
1.0
2.246 1.946 7.362
2.264 -7.728 -1.502
8.143 -0.705 0.555
Li Hg Ca
6 12 1
Direct
0.660 0.221 0.291 Li
0.951 0.291 0.489 Li
0.340 0.779 0.709 Li
0.439 0.489 0.221 Li
0.049 0.709 0.511 Li
0.561 0.511 0.779 Li
0.487 0.142 0.718 Hg
0.256 0.438 0.617 Hg
0.182 0.056 0.562 Hg
0.795 0.282 0.860 Hg
0.655 0.860 0.858 Hg
0.127 0.383 0.056 Hg
0.513 0.858 0.282 Hg
0.205 0.718 0.140 Hg
0.744 0.562 0.383 Hg
0.345 0.140 0.142 Hg
0.818 0.944 0.438 Hg
0.873 0.617 0.944 Hg
0.000 0.000 0.000 Ca
```

In terms of stability, version B leads; the second structure lies 57 meV per atom higher.

Version A
Below is LiCaHg4 after structural relaxation, with properties calculated at the GGA-PBE level.

Summary:
The value obtained for the density of states at the Fermi level is 1.6 states/eV/f.u. The symmetry is C2/m, No. 12. The calculated volume comes out at 142 Å³ per cell. For the mass density, the calculation gives 9.90 g/cm³.

```
LiCaHg4
1.0
5.051 0.000 2.074
1.652 4.220 3.165
-0.158 1.620 7.572
Hg Li Ca
4 1 1
Direct
0.829 0.842 0.001 Hg
0.338 0.327 0.497 Hg
0.662 0.673 0.503 Hg
0.171 0.158 0.999 Hg
0.500 0.500 0.000 Li
0.000 0.000 0.500 Ca
```

Version B
Below is LiCaHg4 after structural relaxation, with properties calculated at the GGA-PBE level.

Summary:
The value obtained for the density of states at the Fermi level is 2.6 states/eV/f.u. The symmetry is Cmcm, No. 63. The calculated volume comes out at 297 Å³ per cell. For the mass density, the calculation gives 9.51 g/cm³.

```
LiCaHg4
1.0
-1.575 -0.139 -4.872
6.200 -4.038 -1.889
-2.976 -6.365 3.836
Hg Ca Li
8 2 2
Direct
0.782 0.564 0.563 Hg
0.000 0.000 0.000 Hg
0.417 0.250 0.833 Hg
0.000 0.500 0.000 Hg
0.583 0.750 0.167 Hg
0.218 0.436 0.437 Hg
0.218 0.064 0.437 Hg
0.782 0.936 0.563 Hg
0.618 0.250 0.236 Ca
0.382 0.750 0.764 Ca
0.142 0.750 0.284 Li
0.858 0.250 0.716 Li
```

In terms of stability, version A leads; the second structure lies 51 meV per atom higher.

Version A
Below is Li6CaHg after structural relaxation, with properties calculated at the GGA-PBE level.

Summary:
The value obtained for the density of states at the Fermi level is 3.8 states/eV/f.u. The symmetry is P4/mmm, No. 123. The calculated volume comes out at 193 Å³ per cell. For the mass density, the calculation gives 2.43 g/cm³.

```
Li6CaHg
1.0
-4.423 0.137 0.538
0.312 -2.961 3.317
1.001 7.258 6.385
Hg Li Ca
1 6 1
Direct
0.000 0.000 0.500 Hg
0.000 0.500 0.332 Li
0.000 0.500 0.668 Li
0.500 0.500 0.140 Li
0.500 0.000 0.668 Li
0.500 0.500 0.860 Li
0.500 0.000 0.332 Li
0.000 0.000 0.000 Ca
```

Version B
Below is Li6CaHg after structural relaxation, with properties calculated at the GGA-PBE level.

Summary:
The value obtained for the density of states at the Fermi level is 3.2 states/eV/f.u. The symmetry is Amm2, No. 38. The calculated volume comes out at 174 Å³ per cell. For the mass density, the calculation gives 2.69 g/cm³.

```
Li6CaHg
1.0
4.950 0.000 0.000
0.000 5.787 -2.623
0.000 -0.561 6.329
Li Ca Hg
6 1 1
Direct
0.000 0.300 0.128 Li
0.000 0.872 0.700 Li
0.000 0.332 0.668 Li
0.500 0.159 0.342 Li
0.000 0.849 0.151 Li
0.500 0.658 0.841 Li
0.500 0.657 0.343 Ca
0.500 0.173 0.827 Hg
```

In terms of stability, version B leads; the second structure lies 71 meV per atom higher.

Version A
Below is LiCa4Hg2 after structural relaxation, with properties calculated at the GGA-PBE level.

Summary:
The value obtained for the density of states at the Fermi level is 7.5 states/eV/f.u. The symmetry is R-3m, No. 166. The calculated volume comes out at 228 Å³ per cell. For the mass density, the calculation gives 4.14 g/cm³.

```
LiCa4Hg2
1.0
5.301 0.000 0.000
2.650 4.591 0.000
2.650 1.530 9.368
Hg Ca Li
2 4 1
Direct
0.408 0.408 0.777 Hg
0.592 0.592 0.223 Hg
0.120 0.120 0.640 Ca
0.292 0.292 0.123 Ca
0.880 0.880 0.360 Ca
0.708 0.708 0.877 Ca
0.500 0.500 0.500 Li
```

Version B
Below is LiCa4Hg2 after structural relaxation, with properties calculated at the GGA-PBE level.

Summary:
The value obtained for the density of states at the Fermi level is 7.8 states/eV/f.u. The symmetry is R-3m, No. 166. The calculated volume comes out at 215 Å³ per cell. For the mass density, the calculation gives 4.39 g/cm³.

```
LiCa4Hg2
1.0
5.153 0.000 1.610
2.325 4.598 1.610
-0.005 -0.003 9.066
Li Hg Ca
1 2 4
Direct
0.000 0.000 0.000 Li
0.255 0.255 0.236 Hg
0.745 0.745 0.764 Hg
0.380 0.380 0.859 Ca
0.872 0.872 0.384 Ca
0.620 0.620 0.141 Ca
0.128 0.128 0.616 Ca
```

In terms of stability, version B leads; the second structure lies 59 meV per atom higher.